(1)
Material: PIrPdO
Method: DFT, PBE
State: relaxed

a = 3.8304 Å, b = 3.8304 Å, c = 6.9090 Å
α = 90.00°, β = 90.00°, γ = 90.00°
With the nearest neighbours (Å) after each atom.
Space group P4/nmm (No. 129, origin choice 2)
Inequivalent atoms, fractional coordinates:
P  0.2500  0.2500  0.2210  4 Pd 2.45, 4 O 2.72
Ir  0.2500  0.2500  0.6655  4 O 2.23
Pd  0.2500  0.7500  0.0000  4 P 2.45, 4 Pd 2.71
O  0.2500  0.7500  0.5000  4 Ir 2.23

Values from the calculation:
- Calculated volume: 101 Å³ per cell
- Total energy: -47.7 eV per cell

(2)
Material: InCoMo4N2
Method: DFT, PBE
State: relaxed

a = 2.8774 Å, b = 2.8774 Å, c = 14.6327 Å
α = 90.00°, β = 90.00°, γ = 120.00°
With the nearest neighbours (Å) after each atom.
Space group P-6m2 (No. 187)
Inequivalent atoms, fractional coordinates:
In  0.0000  0.0000  0.0000  6 In 2.88, 6 Mo 2.97
Co  0.6667  0.3333  0.5000  6 Mo 2.66, 6 Co 2.88
Mo  0.0000  0.0000  0.3577  3 N 2.18
Mo  0.6667  0.3333  0.1682  3 N 2.15
N  0.3333  0.6667  0.2613  6 Mo 2.15-2.18

Values from the calculation:
- Calculated volume: 105 Å³ per cell
- Total energy: -69.1 eV per cell